[1]
Below is a relaxed CePm8Nd5 crystal, with properties calculated at the PBE-GGA level.

Calculated values
**Volume**: 34.9 A^3/atom
**Space-group type**: I-4 (82)
**Energy relative to the elements**: 3.4 eV per formula unit
**E_tot**: -4.601 eV per atom

abc: 8.607 8.607 8.607
angles: 111.61 105.28 111.61
Each line ends with the local moment (μB).
Sites, in units of the cell vectors:
Pm1 0.677 0.396 0.929  0.00
Pm2 0.935 0.114 0.670  0.05
Nd1 0.283 0.102 0.965  0.00
Nd2 0.500 0.000 0.500  -0.02
Pm3 0.071 0.749 0.468  0.00
Nd3 0.863 0.898 0.181  0.00
Pm4 0.180 0.735 0.065  0.05
Nd4 0.819 0.682 0.717  0.00
Nd5 0.035 0.318 0.137  0.00
Ce1 0.250 0.500 0.750  0.93
Pm5 0.556 0.886 0.820  0.05
Pm6 0.532 0.604 0.281  0.00
Pm7 0.330 0.265 0.444  0.05
Pm8 0.719 0.251 0.323  0.00

[2]
Below is a relaxed HfVP2 crystal, with properties calculated at the PBE-GGA level.

Calculated values
**ΔE to the lowest computed polymorph**: 308 meV/atom
**Volume**: 14.9 A^3/atom
**Space-group type**: Fm-3m (225)
**Energy relative to the elements**: -2.4 eV per formula unit
**E_tot**: -8.070 eV per atom

abc: 4.383 4.383 4.383
angles: 60.00 60.00 60.00
Sites, in units of the cell vectors:
Hf1 0.500 0.500 0.500
P1 0.250 0.250 0.250
P2 0.750 0.750 0.750
V1 0.000 0.000 0.000

[3]
Below is a relaxed Zn2Cu8Pt crystal, with properties calculated at the PBE-GGA level.

Calculated values
**ΔE to the lowest computed polymorph**: 113 meV/atom
**Volume**: 14.6 A^3/atom
**Space-group type**: C2/m (12)
**Energy relative to the elements**: 1.0 eV per formula unit
**E_tot**: -3.667 eV per atom

abc: 4.308 6.563 6.563
angles: 62.32 79.70 79.70
Sites, in units of the cell vectors:
Cu1 0.211 0.746 0.388
Cu2 0.211 0.388 0.746
Zn1 0.448 0.132 0.132
Cu3 0.105 0.762 0.762
Pt1 0.000 0.000 0.000
Zn2 0.552 0.868 0.868
Cu4 0.668 0.638 0.638
Cu5 0.895 0.238 0.238
Cu6 0.789 0.612 0.254
Cu7 0.332 0.362 0.362
Cu8 0.789 0.254 0.612

[4]
Below is a relaxed Sr2Al9Ni crystal, with properties calculated at the PBE-GGA level.

Calculated values
**Volume**: 20.7 A^3/atom
**Space-group type**: Cmmm (65)
**Energy relative to the elements**: 3.7 eV per formula unit
**E_tot**: -3.260 eV per atom

abc: 10.881 9.607 2.886
angles: 90.00 90.00 124.49
Sites, in units of the cell vectors:
Al1 0.500 0.000 0.000
Al2 0.344 0.174 0.500
Al3 0.128 0.255 0.500
Al4 0.872 0.745 0.500
Al5 0.830 0.174 0.500
Ni1 0.000 0.000 0.000
Al6 0.500 0.500 0.000
Sr1 0.314 0.629 0.000
Al7 0.170 0.826 0.500
Al8 0.656 0.826 0.500
Al9 0.000 0.500 0.000
Sr2 0.686 0.371 0.000

[5]
Below is a relaxed ThBe2ZnPt5 crystal, with properties calculated at the PBE-GGA level.

Calculated values
**Volume**: 17.1 A^3/atom
**Space-group type**: P4/mmm (123)
**Energy relative to the elements**: -5.3 eV per formula unit
**E_tot**: -5.742 eV per atom

abc: 4.112 4.112 9.106
angles: 90.00 90.00 90.00
Sites, in units of the cell vectors:
Pt1 0.500 0.500 0.500
Be1 0.500 0.500 0.261
Th1 0.000 0.000 0.500
Be2 0.500 0.500 0.739
Pt2 0.500 0.000 0.827
Pt3 0.000 0.500 0.173
Zn1 0.000 0.000 0.000
Pt4 0.000 0.500 0.827
Pt5 0.500 0.000 0.173

[6]
Below is a relaxed PrMgCu2P2 crystal, with properties calculated at the PBE-GGA level.

Calculated values
**Volume**: 17.4 A^3/atom
**Space-group type**: P-3m1 (164)
**Energy relative to the elements**: -4.1 eV per formula unit
**E_tot**: -4.918 eV per atom

abc: 4.006 4.006 7.533
angles: 90.00 90.00 120.00
Sites, in units of the cell vectors:
Cu1 0.667 0.333 0.278
P1 0.333 0.667 0.267
Mg1 0.000 0.000 0.500
Pr1 0.000 0.000 0.000
P2 0.667 0.333 0.733
Cu2 0.333 0.667 0.722